Entry from Alexandria via LeMat-Bulk: a relaxed InCu2 crystal (PBE).

The structure in POSCAR format:
```
InCu2
1.0
-2.415 2.415 4.349
2.415 -2.415 4.349
2.415 2.415 -4.349
In Cu
2 4
Direct
0.250 0.250 0.000 In
0.750 0.750 0.000 In
0.187 0.687 0.874 Cu
0.313 0.187 0.500 Cu
0.687 0.813 0.500 Cu
0.813 0.313 0.126 Cu
```

Computed properties:
Formation energy from the elements (eV/atom): 0.1090
Density of states at the Fermi level (states/eV per atom): 0.529
Crystal system: tetragonal
Space group: No. 140
VASP energy (eV per atom): -3.535